{
  "formula": "RbSr2Au",
  "functional": "GGA-PBE",
  "state": "relaxed",
  "cell": [[3.995, 0.000, 0.000], [0.000, 3.995, 0.000], [0.000, 0.000, 11.229]],
  "species": ["Rb", "Sr", "Sr", "Au"],
  "frac_coords": [[0.000, 0.000, 0.000], [0.500, 0.500, 0.340], [0.500, 0.500, 0.660], [0.000, 0.000, 0.500]],
  "delta_e_f_ev_per_atom": -0.3210,
  "space_group": "No. 123",
  "e_above_lowest_polymorph_mev_per_atom": 55
}

{
  "formula": "RbSrTeAu",
  "functional": "GGA-PBE",
  "state": "relaxed",
  "cell": [[0.000, 4.076, 4.076], [4.076, 0.000, 4.076], [4.076, 4.076, 0.000]],
  "species": ["Rb", "Sr", "Te", "Au"],
  "frac_coords": [[0.000, 0.000, 0.000], [0.500, 0.500, 0.500], [0.750, 0.750, 0.750], [0.250, 0.250, 0.250]],
  "formation_energy_uncorrected_ev_per_atom": -0.897,
  "space_group": "No. 216"
}

{
  "formula": "RbTaAu2",
  "functional": "GGA-PBE",
  "state": "relaxed",
  "cell": [[-4.020, 4.020, 3.920], [4.020, -4.020, 3.920], [4.020, 4.020, -3.920]],
  "species": ["Rb", "Rb", "Ta", "Ta", "Au", "Au", "Au", "Au"],
  "frac_coords": [[0.000, 0.000, 0.000], [0.750, 0.250, 0.500], [0.250, 0.750, 0.500], [0.500, 0.500, 0.000], [0.212, 0.625, 0.087], [0.375, 0.462, 0.587], [0.538, 0.125, 0.913], [0.875, 0.788, 0.413]],
  "delta_e_f_ev_per_atom": 0.6865,
  "space_group": "No. 122",
  "e_above_lowest_polymorph_mev_per_atom": 0
}

{
  "formula": "RbTa2Au",
  "functional": "GGA-PBE",
  "state": "relaxed",
  "cell": [[0.000, 3.406, 3.406], [3.406, 0.000, 3.406], [3.406, 3.406, 0.000]],
  "species": ["Rb", "Ta", "Ta", "Au"],
  "frac_coords": [[0.000, 0.000, 0.000], [0.250, 0.250, 0.250], [0.750, 0.750, 0.750], [0.500, 0.500, 0.500]],
  "delta_e_f_ev_per_atom": 1.5267,
  "space_group": "No. 225",
  "e_above_lowest_polymorph_mev_per_atom": 192
}

{
  "formula": "RbTa2Au2",
  "functional": "GGA-PBE",
  "state": "relaxed",
  "cell": [[-2.571, 2.571, 4.669], [2.571, -2.571, 4.669], [2.571, 2.571, -4.669]],
  "species": ["Rb", "Ta", "Ta", "Au", "Au"],
  "frac_coords": [[0.000, 0.000, 0.000], [0.358, 0.358, 0.000], [0.642, 0.642, 0.000], [0.250, 0.750, 0.500], [0.750, 0.250, 0.500]],
  "delta_e_f_ev_per_atom": 0.7400,
  "space_group": "No. 139",
  "e_above_lowest_polymorph_mev_per_atom": 318
}

{
  "formula": "RbTaAu2",
  "functional": "GGA-PBE",
  "state": "relaxed",
  "cell": [[0.000, 3.595, 3.595], [3.595, 0.000, 3.595], [3.595, 3.595, 0.000]],
  "species": ["Rb", "Ta", "Au", "Au"],
  "frac_coords": [[0.000, 0.000, 0.000], [0.500, 0.500, 0.500], [0.250, 0.250, 0.250], [0.750, 0.750, 0.750]],
  "delta_e_f_ev_per_atom": 0.9232,
  "space_group": "No. 225",
  "e_above_lowest_polymorph_mev_per_atom": 237
}

Respective total moment values: 0.000 0.000 0.477 0.000 0.000 0.462 μB/atom.
Respective N(E_F) values: 0.813 0.000 0.478 0.862 0.816 1.671 states/eV per atom.